VASP calculation (GGA-PBE) on Rb3YGa2O6 after structural relaxation.

The calculation puts the uncorrected formation energy at -1.979 eV per atom.

Geometry as CIF:
```
data_Rb3YGa2O6
_cell_length_a 6.197
_cell_length_b 6.197
_cell_length_c 7.432
_cell_angle_alpha 90.00
_cell_angle_beta 90.00
_cell_angle_gamma 120.00
_symmetry_space_group_name_H-M 'P 1'
_symmetry_Int_Tables_number 1
loop_
_symmetry_equiv_pos_as_xyz
'x,y,z'
loop_
_atom_site_label
_atom_site_fract_x
_atom_site_fract_y
_atom_site_fract_z
Rb1 0.000 0.000 0.000
Rb2 0.333 0.667 0.751
Rb3 0.667 0.333 0.249
Y1 0.000 0.000 0.500
Ga1 0.333 0.667 0.308
Ga2 0.667 0.333 0.692
O1 0.167 0.334 0.305
O2 0.167 0.833 0.305
O3 0.334 0.167 0.695
O4 0.666 0.833 0.305
O5 0.833 0.167 0.695
O6 0.833 0.666 0.695
```

VASP calculation (GGA-PBE) on NdSm12Tm2 after structural relaxation.

The energy of formation from the pure elements comes out at 15.64 kJ/mol of atoms.

Geometry as CIF:
```
data_NdSm12Tm2
_cell_length_a 6.762
_cell_length_b 6.762
_cell_length_c 24.852
_cell_angle_alpha 90.00
_cell_angle_beta 90.00
_cell_angle_gamma 116.33
_symmetry_space_group_name_H-M 'P 1'
_symmetry_Int_Tables_number 1
loop_
_symmetry_equiv_pos_as_xyz
'x,y,z'
loop_
_atom_site_label
_atom_site_fract_x
_atom_site_fract_y
_atom_site_fract_z
Nd1 0.250 0.750 0.999
Nd2 0.750 0.250 0.001
Sm1 0.002 0.502 0.868
Sm2 0.002 0.998 0.077
Sm3 0.017 0.517 0.413
Sm4 0.023 0.977 0.560
Sm5 0.250 0.250 0.200
Sm6 0.250 0.250 0.325
Sm7 0.250 0.250 0.675
Sm8 0.250 0.250 0.800
Sm9 0.477 0.523 0.560
Sm10 0.483 0.983 0.413
Sm11 0.498 0.502 0.077
Sm12 0.498 0.998 0.868
Sm13 0.502 0.002 0.132
Sm14 0.502 0.498 0.923
Sm15 0.517 0.017 0.587
Sm16 0.523 0.477 0.440
Sm17 0.750 0.750 0.200
Sm18 0.750 0.750 0.325
Sm19 0.750 0.750 0.675
Sm20 0.750 0.750 0.800
Sm21 0.977 0.023 0.440
Sm22 0.983 0.483 0.587
Sm23 0.998 0.002 0.923
Sm24 0.998 0.498 0.132
Tm1 0.250 0.750 0.267
Tm2 0.250 0.750 0.729
Tm3 0.750 0.250 0.271
Tm4 0.750 0.250 0.733
```

VASP calculation (GGA-PBE) on TaGeOF2 after structural relaxation.

The calculation puts the uncorrected formation energy at -1.444 eV per atom.

Geometry as CIF:
```
data_TaGeOF2
_cell_length_a 4.312
_cell_length_b 4.312
_cell_length_c 3.919
_cell_angle_alpha 90.00
_cell_angle_beta 90.00
_cell_angle_gamma 90.00
_symmetry_space_group_name_H-M 'P 1'
_symmetry_Int_Tables_number 1
loop_
_symmetry_equiv_pos_as_xyz
'x,y,z'
loop_
_atom_site_label
_atom_site_fract_x
_atom_site_fract_y
_atom_site_fract_z
Ta1 0.000 0.000 0.000
Ge1 0.500 0.500 0.500
O1 0.000 0.000 0.500
F1 0.000 0.500 0.000
F2 0.500 0.000 0.000
```

VASP calculation (GGA-PBE) on LiSm2Cu3Ge4 after structural relaxation.

The energy of formation from the pure elements comes out at -49.54 kJ/mol of atoms.

Geometry as CIF:
```
data_LiSm2Cu3Ge4
_cell_length_a 4.164
_cell_length_b 4.164
_cell_length_c 10.250
_cell_angle_alpha 90.00
_cell_angle_beta 90.00
_cell_angle_gamma 90.00
_symmetry_space_group_name_H-M 'P 1'
_symmetry_Int_Tables_number 1
loop_
_symmetry_equiv_pos_as_xyz
'x,y,z'
loop_
_atom_site_label
_atom_site_fract_x
_atom_site_fract_y
_atom_site_fract_z
Li1 0.000 0.000 0.000
Sm1 0.000 0.500 0.752
Sm2 0.500 0.000 0.248
Cu1 0.000 0.500 0.367
Cu2 0.500 0.000 0.633
Cu3 0.500 0.500 0.000
Ge1 0.000 0.000 0.500
Ge2 0.000 0.500 0.134
Ge3 0.500 0.000 0.866
Ge4 0.500 0.500 0.500
```

VASP calculation (GGA-PBE) on GaSbTeP2 after structural relaxation.

The calculation puts the uncorrected formation energy at 0.728 eV per atom.

Geometry as CIF:
```
data_GaSbTeP2
_cell_length_a 4.675
_cell_length_b 4.675
_cell_length_c 5.528
_cell_angle_alpha 90.00
_cell_angle_beta 90.00
_cell_angle_gamma 90.00
_symmetry_space_group_name_H-M 'P 1'
_symmetry_Int_Tables_number 1
loop_
_symmetry_equiv_pos_as_xyz
'x,y,z'
loop_
_atom_site_label
_atom_site_fract_x
_atom_site_fract_y
_atom_site_fract_z
Ga1 0.000 0.000 0.000
Sb1 0.000 0.000 0.500
Te1 0.500 0.500 0.500
P1 0.000 0.500 0.000
P2 0.500 0.000 0.000
```

VASP calculation (GGA-PBE) on CaZn2Se2 after structural relaxation.

The calculation puts the uncorrected formation energy at -0.713 eV per atom.

Geometry as CIF:
```
data_CaZn2Se2
_cell_length_a 4.996
_cell_length_b 4.996
_cell_length_c 8.811
_cell_angle_alpha 90.00
_cell_angle_beta 90.00
_cell_angle_gamma 90.00
_symmetry_space_group_name_H-M 'P 1'
_symmetry_Int_Tables_number 1
loop_
_symmetry_equiv_pos_as_xyz
'x,y,z'
loop_
_atom_site_label
_atom_site_fract_x
_atom_site_fract_y
_atom_site_fract_z
Ca1 0.000 0.000 0.000
Ca2 0.500 0.500 0.500
Zn1 0.000 0.000 0.364
Zn2 0.000 0.000 0.636
Zn3 0.500 0.500 0.136
Zn4 0.500 0.500 0.864
Se1 0.000 0.500 0.250
Se2 0.000 0.500 0.750
Se3 0.500 0.000 0.250
Se4 0.500 0.000 0.750
```

VASP calculation (GGA-PBE) on Li2YHf after structural relaxation.

The energy of formation from the pure elements comes out at 7.43 kJ/mol of atoms.

Geometry as CIF:
```
data_Li2YHf
_cell_length_a 3.297
_cell_length_b 3.297
_cell_length_c 17.305
_cell_angle_alpha 90.00
_cell_angle_beta 90.00
_cell_angle_gamma 90.00
_symmetry_space_group_name_H-M 'P 1'
_symmetry_Int_Tables_number 1
loop_
_symmetry_equiv_pos_as_xyz
'x,y,z'
loop_
_atom_site_label
_atom_site_fract_x
_atom_site_fract_y
_atom_site_fract_z
Li1 0.250 0.250 0.053
Li2 0.250 0.250 0.843
Li3 0.750 0.750 0.157
Li4 0.750 0.750 0.947
Y1 0.250 0.250 0.302
Y2 0.750 0.750 0.698
Hf1 0.250 0.250 0.560
Hf2 0.750 0.750 0.440
```

VASP calculation (GGA-PBE) on PaCdRh after structural relaxation.

The energy of formation from the pure elements comes out at -44.39 kJ/mol of atoms.

Geometry as CIF:
```
data_PaCdRh
_cell_length_a 7.382
_cell_length_b 3.808
_cell_length_c 9.099
_cell_angle_alpha 90.00
_cell_angle_beta 90.00
_cell_angle_gamma 90.00
_symmetry_space_group_name_H-M 'P 1'
_symmetry_Int_Tables_number 1
loop_
_symmetry_equiv_pos_as_xyz
'x,y,z'
loop_
_atom_site_label
_atom_site_fract_x
_atom_site_fract_y
_atom_site_fract_z
Pa1 0.041 0.250 0.180
Pa2 0.459 0.750 0.680
Pa3 0.541 0.250 0.320
Pa4 0.959 0.750 0.820
Cd1 0.136 0.250 0.547
Cd2 0.364 0.750 0.047
Cd3 0.636 0.250 0.953
Cd4 0.864 0.750 0.453
Rh1 0.225 0.250 0.843
Rh2 0.275 0.750 0.343
Rh3 0.725 0.250 0.657
Rh4 0.775 0.750 0.157
```

VASP calculation (GGA-PBE) on Rb6I2Cl2O after structural relaxation.

The calculation puts the uncorrected formation energy at -1.495 eV per atom.

Geometry as CIF:
```
data_Rb6I2Cl2O
_cell_length_a 8.087
_cell_length_b 8.087
_cell_length_c 8.827
_cell_angle_alpha 99.57
_cell_angle_beta 99.57
_cell_angle_gamma 117.55
_symmetry_space_group_name_H-M 'P 1'
_symmetry_Int_Tables_number 1
loop_
_symmetry_equiv_pos_as_xyz
'x,y,z'
loop_
_atom_site_label
_atom_site_fract_x
_atom_site_fract_y
_atom_site_fract_z
Rb1 0.056 0.357 0.692
Rb2 0.206 0.206 0.311
Rb3 0.357 0.056 0.692
Rb4 0.643 0.944 0.308
Rb5 0.794 0.794 0.689
Rb6 0.944 0.643 0.308
I1 0.180 0.820 0.000
I2 0.820 0.180 0.000
Cl1 0.340 0.660 0.500
Cl2 0.660 0.340 0.500
O1 0.000 0.000 0.500
```

VASP calculation (GGA-PBE) on ThSn2P2Pd7 after structural relaxation.

The energy of formation from the pure elements comes out at -52.59 kJ/mol of atoms.

Geometry as CIF:
```
data_ThSn2P2Pd7
_cell_length_a 4.546
_cell_length_b 4.546
_cell_length_c 11.207
_cell_angle_alpha 92.24
_cell_angle_beta 92.24
_cell_angle_gamma 97.97
_symmetry_space_group_name_H-M 'P 1'
_symmetry_Int_Tables_number 1
loop_
_symmetry_equiv_pos_as_xyz
'x,y,z'
loop_
_atom_site_label
_atom_site_fract_x
_atom_site_fract_y
_atom_site_fract_z
Th1 0.000 0.000 0.000
Sn1 0.129 0.129 0.380
Sn2 0.871 0.871 0.620
P1 0.308 0.308 0.811
P2 0.692 0.692 0.189
Pd1 0.174 0.588 0.226
Pd2 0.335 0.335 0.597
Pd3 0.412 0.826 0.774
Pd4 0.500 0.500 0.000
Pd5 0.588 0.174 0.226
Pd6 0.665 0.665 0.403
Pd7 0.826 0.412 0.774
```

VASP calculation (GGA-PBE) on Ac2La5Pr4 after structural relaxation.

The energy of formation from the pure elements comes out at 13.12 kJ/mol of atoms.

Geometry as CIF:
```
data_Ac2La5Pr4
_cell_length_a 7.436
_cell_length_b 7.436
_cell_length_c 9.232
_cell_angle_alpha 100.54
_cell_angle_beta 100.54
_cell_angle_gamma 58.28
_symmetry_space_group_name_H-M 'P 1'
_symmetry_Int_Tables_number 1
loop_
_symmetry_equiv_pos_as_xyz
'x,y,z'
loop_
_atom_site_label
_atom_site_fract_x
_atom_site_fract_y
_atom_site_fract_z
Ac1 0.170 0.170 0.178
Ac2 0.830 0.830 0.822
La1 0.000 0.000 0.500
La2 0.223 0.664 0.168
La3 0.336 0.777 0.832
La4 0.664 0.223 0.168
La5 0.777 0.336 0.832
Pr1 0.284 0.284 0.832
Pr2 0.365 0.365 0.511
Pr3 0.635 0.635 0.489
Pr4 0.716 0.716 0.168
```

VASP calculation (GGA-PBE) on FeIrCl3 after structural relaxation.

The calculation puts the uncorrected formation energy at 0.554 eV per atom.

Geometry as CIF:
```
data_FeIrCl3
_cell_length_a 4.811
_cell_length_b 4.811
_cell_length_c 4.811
_cell_angle_alpha 90.00
_cell_angle_beta 90.00
_cell_angle_gamma 90.00
_symmetry_space_group_name_H-M 'P 1'
_symmetry_Int_Tables_number 1
loop_
_symmetry_equiv_pos_as_xyz
'x,y,z'
loop_
_atom_site_label
_atom_site_fract_x
_atom_site_fract_y
_atom_site_fract_z
Fe1 0.000 0.000 0.000
Ir1 0.500 0.500 0.500
Cl1 0.000 0.500 0.500
Cl2 0.500 0.000 0.500
Cl3 0.500 0.500 0.000
```